Density functional theory data (PBE) for a relaxed H2IrRh crystal.

Properties
SG = R3m, No. 160
calculated volume = 35.23 Å³ per cell
Fermi-level density of states = 3.9 states/eV/cell
magnetization = 0.01 μB per formula unit
E above lowest polymorph = 0.066 eV per formula unit

Cell lengths 5.284, 5.284, 5.284 Å; angles 31.24, 31.24, 31.24 degrees
Element x y z (fractional)
1 H 0.000 0.000 0.000
2 H 0.184 0.184 0.184
3 Ir 0.396 0.396 0.396
4 Rh 0.571 0.571 0.571

Density functional theory data (PBE) for a relaxed NdSm2Y6Sc3 crystal.

Properties
SG = C2/m, No. 12
calculated volume = 368.69 Å³ per cell
Fermi-level density of states = 18.8 states/eV/cell
magnetization = 0.00 μB per formula unit
energy relative to the elements = 0.052 eV per atom

Cell lengths 6.113, 6.113, 11.573 Å; angles 95.05, 95.05, 119.99 degrees
Element x y z (fractional)
1 Nd 0.000 0.000 0.000
2 Sm 0.333 0.667 0.000
3 Sm 0.667 0.333 0.000
4 Y 0.087 0.421 0.261
5 Y 0.246 0.246 0.739
6 Y 0.421 0.087 0.261
7 Y 0.579 0.913 0.739
8 Y 0.754 0.754 0.261
9 Y 0.913 0.579 0.739
10 Sc 0.167 0.833 0.500
11 Sc 0.500 0.500 0.500
12 Sc 0.833 0.167 0.500

Density functional theory data (PBE) for a relaxed CaZrO3 crystal.

Properties
raw formation energy = -1.290 eV/atom
SG = Pm-3m, No. 221
calculated volume = 68.62 Å³ per cell
Fermi-level density of states = 1.6 states/eV/cell
magnetization = 0.00 μB per formula unit

Cell lengths 4.094, 4.094, 4.094 Å; angles 90.00, 90.00, 90.00 degrees
Element x y z (fractional)
1 Ca 0.000 0.000 0.000
2 Zr 0.500 0.500 0.500
3 O 0.000 0.000 0.500
4 O 0.000 0.500 0.000
5 O 0.500 0.000 0.000